## NaAs2IBr (PBE-GGA)

Data for a relaxed NaAs2IBr crystal.

The value obtained for the spin magnetization is 1.08 Bohr magnetons per cell. The uncorrected formation energy is 321.1 kJ/mol of formula units.

The structure belongs to space group P4/mmm (No. 123); the cell edges are 5.429, 5.429 and 5.091 Å and the angles 90.00°, 90.00° and 90.00°. The inequivalent atoms are Na at (0.000, 0.000, 0.000), As at (0.000, 0.500, 0.000), I at (0.500, 0.500, 0.500) and Br at (0.000, 0.000, 0.500).